(1)
Compound: CaY2Tm
Source: the Alexandria database
Functional: PBE-GGA
Structure: optimized geometry

Computed properties:
Raw total energy in eV per atom: -4.779
Energy of formation in kJ per mole of atoms: 7
N(E_F) in states/eV/cell: 6.030
Polymorph energy (0 for the lowest one) in meV per atom: 7

Geometry as POSCAR:
```
CaY2Tm
1.0
3.6104 0.0000 0.0000
0.0000 3.6104 0.0000
0.0000 0.0000 10.3687
Ca Y Tm
1 2 1
Direct
0.0000 0.0000 0.0000
0.5000 0.5000 0.2712
0.5000 0.5000 0.7288
0.0000 0.0000 0.5000
```

=====

(2)
Compound: CaY2Tm
Source: the Alexandria database
Functional: PBE-GGA
Structure: optimized geometry

Computed properties:
Raw total energy in eV per atom: -4.708
Energy of formation in kJ per mole of atoms: 14
N(E_F) in states/eV/cell: 7.700
Polymorph energy (0 for the lowest one) in meV per atom: 79

Geometry as POSCAR:
```
CaY2Tm
1.0
5.1261 0.0000 0.0000
0.0000 5.1261 0.0000
0.0000 0.0000 5.0630
Ca Y Tm
1 2 1
Direct
0.0000 0.0000 0.0000
0.0000 0.5000 0.5000
0.5000 0.0000 0.5000
0.5000 0.5000 0.0000
```

=====

(3)
Compound: Ca2YTm
Source: the Alexandria database
Functional: PBE-GGA
Structure: optimized geometry

Computed properties:
Raw total energy in eV per atom: -3.547
Energy of formation in kJ per mole of atoms: 18
N(E_F) in states/eV/cell: 6.751
Polymorph energy (0 for the lowest one) in meV per atom: 39

Geometry as POSCAR:
```
Ca2YTm
1.0
5.1307 0.0000 0.0000
0.0000 5.1307 0.0000
0.0000 0.0000 5.4357
Ca Y Tm
2 1 1
Direct
0.0000 0.5000 0.0000
0.5000 0.0000 0.0000
0.0000 0.0000 0.5000
0.5000 0.5000 0.5000
```

=====

(4)
Compound: CaY7Tm2
Source: the Alexandria database
Functional: PBE-GGA
Structure: optimized geometry

Computed properties:
Raw total energy in eV per atom: -5.559
Energy of formation in kJ per mole of atoms: 6
N(E_F) in states/eV/cell: 17.148

Geometry as POSCAR:
```
CaY7Tm2
1.0
5.0436 0.0000 0.0000
0.0106 7.1740 0.0000
2.5177 1.7891 8.9779
Ca Y Tm
1 7 2
Direct
0.0000 0.0000 0.0000
0.0000 0.5000 0.0000
0.2038 0.1019 0.5926
0.3960 0.6899 0.2079
0.3970 0.2059 0.2056
0.6030 0.7941 0.7944
0.6040 0.3101 0.7921
0.7962 0.8981 0.4074
0.2001 0.6006 0.6001
0.7999 0.3994 0.3999
```

=====

(5)
Compound: CaYTm2
Source: the Alexandria database
Functional: PBE-GGA
Structure: optimized geometry

Computed properties:
Raw total energy in eV per atom: -4.275
Energy of formation in kJ per mole of atoms: 7
N(E_F) in states/eV/cell: 5.573
Polymorph energy (0 for the lowest one) in meV per atom: 0

Geometry as POSCAR:
```
CaYTm2
1.0
1.7844 1.0302 11.9518
-1.7844 1.0302 11.9518
0.0000 -2.0604 11.9518
Ca Y Tm
1 1 2
Direct
0.0000 0.0000 0.0000
0.8344 0.8344 0.8344
0.2461 0.2461 0.2461
0.4220 0.4220 0.4220
```

=====

(6)
Compound: CaY6Tm
Source: the Alexandria database
Functional: PBE-GGA
Structure: optimized geometry

Computed properties:
Raw total energy in eV per atom: -5.437
Energy of formation in kJ per mole of atoms: 21
N(E_F) in states/eV/cell: 13.548

Geometry as POSCAR:
```
CaY6Tm
1.0
6.6590 0.0000 0.0000
-0.5148 6.7156 0.0000
-0.5262 -2.9273 6.0439
Ca Y Tm
1 6 1
Direct
0.0000 0.0000 0.0000
0.2630 0.5880 0.5879
0.2728 0.0801 0.5247
0.2729 0.5247 0.0800
0.7271 0.4753 0.9200
0.7272 0.9199 0.4753
0.7370 0.4120 0.4121
0.5000 0.0000 0.0000
```

=====

(7)
Compound: CaYTm2
Source: the Alexandria database
Functional: PBE-GGA
Structure: optimized geometry

Computed properties:
Raw total energy in eV per atom: -4.160
Energy of formation in kJ per mole of atoms: 19
N(E_F) in states/eV/cell: 8.323
Polymorph energy (0 for the lowest one) in meV per atom: 116

Geometry as POSCAR:
```
CaYTm2
1.0
0.0000 4.0401 4.0401
4.0401 0.0000 4.0401
4.0401 4.0401 0.0000
Ca Y Tm
1 1 2
Direct
0.0000 0.0000 0.0000
0.5000 0.5000 0.5000
0.2500 0.2500 0.2500
0.7500 0.7500 0.7500
```

=====

(8)
Compound: Ca2Y4Tm
Source: the Alexandria database
Functional: PBE-GGA
Structure: optimized geometry

Computed properties:
Raw total energy in eV per atom: -4.832
Energy of formation in kJ per mole of atoms: 7
N(E_F) in states/eV/cell: 9.836

Geometry as POSCAR:
```
Ca2Y4Tm
1.0
1.8170 -18.6426 0.0000
1.8170 18.6426 0.0000
0.0000 0.0000 3.5815
Ca Y Tm
2 4 1
Direct
0.2056 0.7944 0.0000
0.7944 0.2056 0.0000
0.0663 0.9337 0.0000
0.3685 0.6315 0.5000
0.6315 0.3685 0.5000
0.9337 0.0663 0.0000
0.5000 0.5000 0.5000
```

=====

(9)
Compound: CaY6Tm5
Source: the Alexandria database
Functional: PBE-GGA
Structure: optimized geometry

Computed properties:
Raw total energy in eV per atom: -5.206
Energy of formation in kJ per mole of atoms: 5
N(E_F) in states/eV/cell: 18.185

Geometry as POSCAR:
```
CaY6Tm5
1.0
2.5182 -7.5691 0.0000
2.5182 7.5691 0.0000
0.0000 0.0000 10.0419
Ca Y Tm
1 6 5
Direct
0.0000 0.0000 0.0000
0.1698 0.8302 0.2542
0.1698 0.8302 0.7458
0.5000 0.5000 0.2595
0.5000 0.5000 0.7405
0.8302 0.1698 0.2542
0.8302 0.1698 0.7458
0.0000 0.0000 0.5000
0.3273 0.6727 0.0000
0.3331 0.6669 0.5000
0.6669 0.3331 0.5000
0.6727 0.3273 0.0000
```

=====

(10)
Compound: Ca2YTm
Source: the Alexandria database
Functional: PBE-GGA
Structure: optimized geometry

Computed properties:
Raw total energy in eV per atom: -3.538
Energy of formation in kJ per mole of atoms: 19
N(E_F) in states/eV/cell: 7.008
Polymorph energy (0 for the lowest one) in meV per atom: 48

Geometry as POSCAR:
```
Ca2YTm
1.0
0.0000 4.1211 4.1211
4.1211 0.0000 4.1211
4.1211 4.1211 0.0000
Ca Y Tm
2 1 1
Direct
0.2500 0.2500 0.2500
0.7500 0.7500 0.7500
0.0000 0.0000 0.0000
0.5000 0.5000 0.5000
```

=====

(11)
Compound: CaY2Tm
Source: the Alexandria database
Functional: PBE-GGA
Structure: optimized geometry

Computed properties:
Raw total energy in eV per atom: -4.787
Energy of formation in kJ per mole of atoms: 6
N(E_F) in states/eV/cell: 5.713
Polymorph energy (0 for the lowest one) in meV per atom: 0

Geometry as POSCAR:
```
CaY2Tm
1.0
1.7970 1.0375 12.0238
-1.7970 1.0375 12.0238
0.0000 -2.0750 12.0238
Ca Y Tm
1 2 1
Direct
0.0000 0.0000 0.0000
0.2453 0.2453 0.2453
0.4227 0.4227 0.4227
0.8341 0.8341 0.8341
```

=====

(12)
Compound: Ca2TmZn6
Source: the Alexandria database
Functional: PBE-GGA
Structure: optimized geometry

Computed properties:
Raw total energy in eV per atom: -2.088
Energy of formation in kJ per mole of atoms: -29
N(E_F) in states/eV/cell: 5.759

Geometry as POSCAR:
```
Ca2TmZn6
1.0
7.7886 0.0000 0.0000
-3.8943 6.7451 0.0000
0.0000 0.0000 3.5827
Ca Tm Zn
2 1 6
Direct
0.3333 0.6667 0.0000
0.6667 0.3333 0.0000
0.0000 0.0000 0.0000
0.0000 0.3311 0.5000
0.0000 0.6689 0.5000
0.3311 0.0000 0.5000
0.3311 0.3311 0.5000
0.6689 0.0000 0.5000
0.6689 0.6689 0.5000
```